[1]
A plane-wave DFT calculation with GGA-PBE was carried out for an optimized crystal structure of Sm2DyY2Tm4.

abc: 18.5582 3.5730 9.4975
angles: 90.00 115.76 90.00
Last column: nearest neighbours and their distance in Å.
Space group C2/m (No. 12)
Inequivalent atoms, fractional coordinates:
1 Sm 0.1658 0.0000 0.0019 [4 per cell]  3 Tm 3.53, 3 Y 3.55-3.56, 2 Dy 3.55, 4 Sm 3.57-3.61
2 Dy 0.0000 0.5000 0.0000 [2 per cell]  6 Tm 3.52-3.53, 4 Sm 3.55, 2 Dy 3.57
3 Y 0.1469 0.5000 0.6631 [4 per cell]  7 Tm 3.47-3.59, 3 Sm 3.55-3.56, 2 Y 3.57
4 Tm 0.0193 0.0000 0.3343 [4 per cell]  4 Y 3.48-3.57, 5 Tm 3.52-3.57, 2 Dy 3.52, 1 Sm 3.53
5 Tm 0.1851 0.5000 0.3366 [4 per cell]  3 Y 3.47-3.59, 6 Tm 3.48-3.57, 2 Sm 3.53, 1 Dy 3.53

Spin magnetization in μB/atom: 0.00
Calculated formation energy in eV/atom: -0.0025

***

[2]
A plane-wave DFT calculation with GGA-PBE was carried out for an optimized crystal structure of LiCu6OF11.

abc: 4.7830 5.2403 9.5266
angles: 92.81 92.97 97.11
Last column: nearest neighbours and their distance in Å.
Space group P1 (No. 1)
Inequivalent atoms, fractional coordinates:
1 Li 0.0000 0.0000 0.0000 [1 per cell]  5 F 1.91-2.03
2 Cu 0.0081 0.4782 0.7959 [1 per cell]  4 F 1.93-1.95
3 Cu 0.4462 0.2259 0.4845 [1 per cell]  1 O 1.86, 3 F 1.92-2.01
4 Cu 0.4818 0.6030 0.1276 [1 per cell]  4 F 1.90-1.96
5 Cu 0.5019 0.9704 0.7965 [1 per cell]  4 F 1.92-1.95
6 Cu 0.9625 0.1858 0.2872 [1 per cell]  1 O 1.86, 3 F 1.96-2.05
7 Cu 0.9636 0.7438 0.4831 [1 per cell]  1 O 1.85, 3 F 1.93-1.97
8 O 0.1860 0.9795 0.3851 [1 per cell]  3 Cu 1.85-1.86
9 F 0.1832 0.4711 0.4186 [1 per cell]  3 Cu 1.97-2.05
10 F 0.1961 0.3123 0.1076 [1 per cell]  1 Cu 1.91, 1 Li 1.99
11 F 0.2409 0.7169 0.6905 [1 per cell]  2 Cu 1.92-1.93
12 F 0.2496 0.2189 0.7428 [1 per cell]  2 Cu 1.95
13 F 0.2895 0.7792 0.9898 [1 per cell]  1 Cu 1.90, 1 Li 1.91
14 F 0.6832 0.4257 0.2648 [1 per cell]  2 Cu 1.93-1.96
15 F 0.7036 0.9823 0.5323 [1 per cell]  2 Cu 1.93
16 F 0.7258 0.4845 0.5748 [1 per cell]  2 Cu 1.92-1.93
17 F 0.7681 0.2349 0.8955 [1 per cell]  2 Cu 1.93, 1 Li 2.02
18 F 0.7698 0.9031 0.1555 [1 per cell]  1 Li 1.94, 2 Cu 1.96-1.99
19 F 0.7817 0.7475 0.8526 [1 per cell]  2 Cu 1.95, 1 Li 2.03

Formation energy without anion corrections in eV per atom: -1.53
Spin magnetization in μB/atom: 0.20
E above lowest polymorph in meV/atom: 0.0

***

[3]
A plane-wave DFT calculation with GGA-PBE was carried out for an optimized crystal structure of YCoTc2.

abc: 8.6638 3.2864 5.2245
angles: 90.00 108.07 90.00
Last column: nearest neighbours and their distance in Å.
Space group Cm (No. 8)
Inequivalent atoms, fractional coordinates:
1 Y 0.0000 0.0000 0.0000 [2 per cell]  3 Co 2.93-2.99, 7 Tc 2.97-3.13
2 Co 0.2701 0.5000 0.3248 [2 per cell]  4 Tc 2.45-2.53
3 Tc 0.2140 0.0000 0.6523 [2 per cell]  2 Tc 2.49, 2 Co 2.53
4 Tc 0.4895 0.0000 0.4841 [2 per cell]  2 Co 2.45, 2 Tc 2.49

Spin magnetization in μB/atom: 0.18
E above lowest polymorph in meV/atom: 156.7
Calculated formation energy in eV/atom: 0.2625

***

[4]
A plane-wave DFT calculation with GGA-PBE was carried out for an optimized crystal structure of ScAuSe2.

abc: 4.3397 4.3397 5.9601
angles: 90.00 90.00 90.00
Last column: nearest neighbours and their distance in Å.
Space group P-4m2 (No. 115)
Inequivalent atoms, fractional coordinates:
1 Sc 0.0000 0.0000 0.0000 [1 per cell]  4 Se 2.66
2 Au 0.5000 0.5000 0.0000 [1 per cell]  4 Se 2.66
3 Se 0.0000 0.5000 0.2568 [2 per cell]  2 Sc 2.66, 2 Au 2.66

Formation energy without anion corrections in eV per atom: -0.98
Spin magnetization in μB/atom: 0.00

***

[5]
A plane-wave DFT calculation with GGA-PBE was carried out for an optimized crystal structure of Er2Th2Cd.

abc: 3.5902 3.5902 22.6786
angles: 90.00 90.00 90.00
Last column: nearest neighbours and their distance in Å.
Space group I4/mmm (No. 139)
Inequivalent atoms, fractional coordinates:
1 Er 0.0000 0.0000 0.0881 [4 per cell]  4 Cd 3.23, 4 Th 3.53, 4 Er 3.59
2 Th 0.0000 0.0000 0.3040 [4 per cell]  4 Er 3.53, 8 Th 3.53-3.59
3 Cd 0.0000 0.0000 0.5000 [2 per cell]  8 Er 3.23, 4 Cd 3.59

Spin magnetization in μB/atom: 0.00
Calculated formation energy in eV/atom: -0.1234

***

[6]
A plane-wave DFT calculation with GGA-PBE was carried out for an optimized crystal structure of Ac3YSn12.

abc: 4.8869 4.8869 19.3390
angles: 90.00 90.00 90.00
Last column: nearest neighbours and their distance in Å.
Space group P4/mmm (No. 123)
Inequivalent atoms, fractional coordinates:
1 Ac 0.0000 0.0000 0.0000 [1 per cell]  12 Sn 3.46-3.49
2 Ac 0.0000 0.0000 0.2565 [2 per cell]  12 Sn 3.46-3.48
3 Y 0.0000 0.0000 0.5000 [1 per cell]  12 Sn 3.31-3.46
4 Sn 0.0000 0.5000 0.1286 [4 per cell]  8 Sn 3.46-3.49, 4 Ac 3.48-3.49
5 Sn 0.0000 0.5000 0.3844 [4 per cell]  8 Sn 3.31-3.47, 2 Y 3.31, 2 Ac 3.48
6 Sn 0.5000 0.5000 0.0000 [1 per cell]  4 Ac 3.46, 8 Sn 3.49
7 Sn 0.5000 0.5000 0.2570 [2 per cell]  4 Ac 3.46, 8 Sn 3.47-3.48
8 Sn 0.5000 0.5000 0.5000 [1 per cell]  8 Sn 3.31, 4 Y 3.46

Spin magnetization in μB/atom: 0.00
Calculated formation energy in eV/atom: -0.4901

***

[7]
A plane-wave DFT calculation with GGA-PBE was carried out for an optimized crystal structure of Zr3TcRh.

abc: 4.9256 4.9256 4.9256
angles: 90.00 90.00 90.00
Last column: nearest neighbours and their distance in Å.
Space group Pm-3m (No. 221)
Inequivalent atoms, fractional coordinates:
1 Zr 0.0000 0.0000 0.5000 [3 per cell]  2 Tc 2.46
2 Tc 0.0000 0.0000 0.0000 [1 per cell]  6 Zr 2.46
3 Rh 0.5000 0.5000 0.5000 [1 per cell]  12 Zr 3.48

Spin magnetization in μB/atom: 0.00
E above lowest polymorph in meV/atom: 0.0
Calculated formation energy in eV/atom: 0.5919

***

[8]
A plane-wave DFT calculation with GGA-PBE was carried out for an optimized crystal structure of TaCd2Cl.

abc: 2.9551 5.7839 4.8890
angles: 90.00 91.10 90.00
Last column: nearest neighbours and their distance in Å.
Space group P2/m (No. 10)
Inequivalent atoms, fractional coordinates:
1 Ta 0.0000 0.0000 0.0000 [1 per cell]  2 Cl 2.44
2 Cd 0.2662 0.5000 0.7542 [2 per cell]  6 Cd 2.75-2.96
3 Cl 0.0000 0.0000 0.5000 [1 per cell]  2 Ta 2.44

Formation energy without anion corrections in eV per atom: 0.26
Spin magnetization in μB/atom: 0.00
E above lowest polymorph in meV/atom: 295.3

***

[9]
A plane-wave DFT calculation with GGA-PBE was carried out for an optimized crystal structure of NdDySc2As4.

abc: 6.9816 4.0509 7.0099
angles: 90.00 109.57 90.00
Last column: nearest neighbours and their distance in Å.
Space group P2/m (No. 10)
Inequivalent atoms, fractional coordinates:
1 Nd 0.0000 0.0000 0.0000 [1 per cell]  6 As 2.95
2 Dy 0.0000 0.5000 0.5000 [1 per cell]  6 As 2.92
3 Sc 0.5000 0.0000 0.5000 [1 per cell]  6 As 2.77
4 Sc 0.5000 0.5000 0.0000 [1 per cell]  6 As 2.81
5 As 0.2680 0.0000 0.7516 [2 per cell]  3 Sc 2.77-2.81, 2 Dy 2.92, 1 Nd 2.95
6 As 0.2714 0.5000 0.2616 [2 per cell]  3 Sc 2.77-2.81, 1 Dy 2.92, 2 Nd 2.95

Spin magnetization in μB/atom: 0.00
Calculated formation energy in eV/atom: -1.4241

***

[10]
A plane-wave DFT calculation with GGA-PBE was carried out for an optimized crystal structure of Li2Ni2S.

abc: 5.6278 5.6278 3.6664
angles: 90.00 90.00 90.00
Last column: nearest neighbours and their distance in Å.
Space group P4/mbm (No. 127)
Inequivalent atoms, fractional coordinates:
1 Li 0.1350 0.3650 0.0000 [4 per cell]  1 Li 2.15, 2 S 2.19, 2 Ni 2.40
2 Ni 0.1701 0.6701 0.5000 [4 per cell]  6 Li 2.40-2.52
3 S 0.0000 0.0000 0.0000 [2 per cell]  4 Li 2.19

Formation energy without anion corrections in eV per atom: 0.04
Spin magnetization in μB/atom: 0.04
E above lowest polymorph in meV/atom: 134.1

***

[11]
A plane-wave DFT calculation with GGA-PBE was carried out for an optimized crystal structure of LiGeB.

abc: 3.0391 19.4646 2.8078
angles: 90.00 90.00 90.00
Last column: nearest neighbours and their distance in Å.
Space group Cmmm (No. 65)
Inequivalent atoms, fractional coordinates:
1 Li 0.0000 0.1661 0.0000 [4 per cell]  6 B 2.30-2.52
2 Ge 0.0000 0.4359 0.5000 [4 per cell]  1 Ge 2.50
3 B 0.0000 0.2595 0.5000 [4 per cell]  2 B 1.56

Spin magnetization in μB/atom: 0.00
Calculated formation energy in eV/atom: 0.1187

***

[12]
A plane-wave DFT calculation with GGA-PBE was carried out for an optimized crystal structure of KAgRuAu2.

abc: 5.4083 5.4083 5.2518
angles: 90.00 90.00 90.00
Last column: nearest neighbours and their distance in Å.
Space group P4/mmm (No. 123)
Inequivalent atoms, fractional coordinates:
1 K 0.0000 0.0000 0.0000 [1 per cell]  2 Ag 2.63, 4 Au 2.70
2 Ag 0.0000 0.0000 0.5000 [1 per cell]  2 K 2.63
3 Ru 0.5000 0.5000 0.5000 [1 per cell]  8 Au 3.77, 4 Ag 3.82
4 Au 0.0000 0.5000 0.0000 [2 per cell]  2 K 2.70

Spin magnetization in μB/atom: 0.58
Calculated formation energy in eV/atom: 1.8713

***

- Among the records above, which one has the highest spin magnetization?
  KAgRuAu2